# 1
Density functional theory data (PBE-GGA) for crystalline LiMg6Ag at its relaxed geometry.

POSCAR file:
```
LiMg6Ag
1.0
6.2175 0.0000 0.0000
-3.1088 5.3845 0.0000
0.0000 0.0000 4.9531
Li Mg Ag
1 6 1
Direct
0.0000 0.0000 0.0000
0.0056 0.5028 0.0000
0.3272 0.1636 0.5000
0.4972 0.5028 0.0000
0.4972 0.9944 0.0000
0.8364 0.1636 0.5000
0.8364 0.6728 0.5000
0.3333 0.6667 0.5000
```

Results
calculated density: 2.61 g/cm³
relative energy among the computed polymorphs: 2 kJ/mol of formula units

=====

# 2
Density functional theory data (PBE-GGA) for crystalline LiMg2Ag at its relaxed geometry.

POSCAR file:
```
LiMg2Ag
1.0
4.6125 0.0000 0.0000
0.0000 4.6125 0.0000
0.0000 0.0000 3.5120
Li Mg Ag
1 2 1
Direct
0.0000 0.0000 0.0000
0.0000 0.5000 0.5000
0.5000 0.0000 0.5000
0.5000 0.5000 0.0000
```

Results
calculated density: 3.63 g/cm³
relative energy among the computed polymorphs: 14 kJ/mol of formula units

=====

# 3
Density functional theory data (PBE-GGA) for crystalline LiMg2Ag at its relaxed geometry.

POSCAR file:
```
LiMg2Ag
1.0
6.6490 0.0000 0.0000
0.0000 6.6490 0.0000
0.0000 0.0000 6.6490
Li Mg Ag
4 8 4
Direct
0.0000 0.0000 0.0000
0.0000 0.5000 0.5000
0.5000 0.0000 0.5000
0.5000 0.5000 0.0000
0.2500 0.2500 0.2500
0.2500 0.2500 0.7500
0.2500 0.7500 0.2500
0.2500 0.7500 0.7500
0.7500 0.2500 0.2500
0.7500 0.2500 0.7500
0.7500 0.7500 0.2500
0.7500 0.7500 0.7500
0.0000 0.0000 0.5000
0.0000 0.5000 0.0000
0.5000 0.0000 0.0000
0.5000 0.5000 0.5000
```

Results
calculated density: 3.69 g/cm³
relative energy among the computed polymorphs: 0 kJ/mol of formula units

=====

# 4
Density functional theory data (PBE-GGA) for crystalline LiMg2Ag at its relaxed geometry.

POSCAR file:
```
LiMg2Ag
1.0
4.5169 0.0000 0.0000
-2.2585 3.9118 0.0000
0.0000 0.0000 9.2604
Li Mg Ag
2 4 2
Direct
0.3333 0.6667 0.2500
0.6667 0.3333 0.7500
0.3333 0.6667 0.5882
0.3333 0.6667 0.9118
0.6667 0.3333 0.0882
0.6667 0.3333 0.4118
0.0000 0.0000 0.2500
0.0000 0.0000 0.7500
```

Results
calculated density: 3.32 g/cm³
relative energy among the computed polymorphs: 78 kJ/mol of formula units

=====

# 5
Density functional theory data (PBE-GGA) for crystalline LiMg2Ag at its relaxed geometry.

POSCAR file:
```
LiMg2Ag
1.0
6.6727 0.0000 0.0000
0.0000 6.6727 0.0000
0.0000 0.0000 6.6727
Li Mg Ag
4 8 4
Direct
0.0000 0.0000 0.0000
0.0000 0.5000 0.5000
0.5000 0.0000 0.5000
0.5000 0.5000 0.0000
0.0000 0.0000 0.5000
0.0000 0.5000 0.0000
0.2500 0.2500 0.7500
0.2500 0.7500 0.2500
0.5000 0.0000 0.0000
0.5000 0.5000 0.5000
0.7500 0.2500 0.2500
0.7500 0.7500 0.7500
0.2500 0.2500 0.2500
0.2500 0.7500 0.7500
0.7500 0.2500 0.7500
0.7500 0.7500 0.2500
```

Results
calculated density: 3.65 g/cm³
relative energy among the computed polymorphs: 30 kJ/mol of formula units

=====

# 6
Density functional theory data (PBE-GGA) for crystalline LiMg2Ag at its relaxed geometry.

POSCAR file:
```
LiMg2Ag
1.0
4.7534 0.0000 0.0000
-2.3767 4.1165 0.0000
0.0000 0.0000 8.3574
Li Mg Ag
2 4 2
Direct
0.0000 0.0000 0.0000
0.0000 0.0000 0.5000
0.3333 0.6667 0.0843
0.3333 0.6667 0.4157
0.6667 0.3333 0.5843
0.6667 0.3333 0.9157
0.3333 0.6667 0.7500
0.6667 0.3333 0.2500
```

Results
calculated density: 3.32 g/cm³
relative energy among the computed polymorphs: 81 kJ/mol of formula units

=====

# 7
Density functional theory data (PBE-GGA) for crystalline Li3MgAg2 at its relaxed geometry.

POSCAR file:
```
Li3MgAg2
1.0
5.0335 0.0000 0.0000
-2.5168 4.3592 0.0000
0.0000 0.0000 4.6719
Li Mg Ag
3 1 2
Direct
0.0000 0.3595 0.0000
0.3595 0.0000 0.0000
0.6405 0.6405 0.0000
0.0000 0.0000 0.5000
0.3333 0.6667 0.5000
0.6667 0.3333 0.5000
```

Results
total energy: -13.97 eV/f.u.
calculated density: 4.23 g/cm³

=====

# 8
Density functional theory data (PBE-GGA) for crystalline LiMgAg at its relaxed geometry.

POSCAR file:
```
LiMgAg
1.0
8.0032 0.0000 0.0000
0.0000 4.6142 0.0000
-0.0083 0.0000 5.7357
Li Mg Ag
4 4 4
Direct
0.0000 0.0000 0.0000
0.1667 0.5000 0.8369
0.5000 0.5000 0.0000
0.6667 0.0000 0.8369
0.1667 0.5000 0.3272
0.3334 0.0000 0.6567
0.6667 0.0000 0.3272
0.8334 0.5000 0.6567
0.0001 0.0000 0.4992
0.3334 0.0000 0.1467
0.5001 0.5000 0.4992
0.8334 0.5000 0.1467
```

Results
calculated density: 4.36 g/cm³
relative energy among the computed polymorphs: 0 kJ/mol of formula units